The following is a GGA-PBEsol calculation of a relaxed structure of CaH12Br2O6, from the Alexandria database.

Size of the total moment (μB per cell): 0.00
Uncorrected energy (hartree per atom): -0.1790
Mass density (g/cm3): 2.4

Cell: 7.9965 7.9965 3.9145 Å, 90.00 90.00 120.00°
Space group P321 (No. 150)
Asymmetric unit:
Ca: 0.0000 0.0000 0.0000
H: 0.0991 0.4267 0.1023
H: 0.1127 0.7749 0.5272
Br: 0.3333 0.6667 0.4279
O: 0.0000 0.3031 0.0000
O: 0.0000 0.7939 0.5000

---

The following is a GGA-PBEsol calculation of a relaxed structure of ScTc2Ir, from the Alexandria database.

Size of the total moment (μB per cell): 0.00
Relative energy among the computed polymorphs (meV per atom): 53
Uncorrected energy (hartree per atom): -0.3623
Calculated formation energy (eV/atom): -0.118
Mass density (g/cm3): 11.9

Cell: 3.777 3.777 8.466 Å, 90.00 90.00 90.00°
Space group I4/mmm (No. 139)
Asymmetric unit:
Sc: 0.000 0.000 0.000
Tc: 0.000 0.500 0.250
Ir: 0.000 0.000 0.500

---

The following is a GGA-PBEsol calculation of a relaxed structure of Ba3Cu, from the Alexandria database.

Size of the total moment (μB per cell): 0.00
Uncorrected energy (hartree per atom): -0.0965
Calculated formation energy (eV/atom): 0.070
Mass density (g/cm3): 4.7

Cell: 3.995 3.995 10.614 Å, 90.00 90.00 90.00°
Space group P4/mmm (No. 123)
Asymmetric unit:
Ba: 0.000 0.000 0.000
Ba: 0.500 0.500 0.328
Cu: 0.000 0.000 0.500

---

The following is a GGA-PBEsol calculation of a relaxed structure of InCu2Ag, from the Alexandria database.

Size of the total moment (μB per cell): 0.00
Uncorrected energy (hartree per atom): -0.1353
Calculated formation energy (eV/atom): 0.060
Mass density (g/cm3): 9.7

Cell: 3.104 3.245 5.967 Å, 90.00 90.00 90.00°
Space group Pmmm (No. 47)
Asymmetric unit:
In: 0.000 0.000 0.000
Cu: 0.500 0.500 0.263
Ag: 0.000 0.000 0.500

---

Question: size of the total moment of number 3 (Ba3Cu)?
Answer: 0.00 μB per cell